*one*
VASP calculation (PBE) on a geometry-optimized DyCF structure.

```
6
Lattice="3.657 -0.006 -0.003 -1.820 3.660 0.149 0.003 -1.723 6.400" Properties=species:S:1:pos:R:3 pbc="T T T"
Dy 1.836 0.967 5.064
C 1.832 -1.153 6.040
F 1.834 1.623 2.697
C 0.007 3.084 0.506
F 0.005 0.307 3.849
Dy 0.004 0.964 1.482
```

- Magnetic moment: 0.00 μB per cell

*two*
VASP calculation (PBE) on a geometry-optimized DyCF structure.

```
12
Lattice="-0.532 5.889 -2.748 -3.531 -2.703 -5.109 -3.182 0.592 1.886" Properties=species:S:1:pos:R:3 pbc="T T T"
F -1.395 2.300 -1.216
Dy -4.650 3.562 -3.383
C -2.988 5.312 -2.990
Dy -4.649 2.048 -6.627
F -3.252 1.953 -4.240
F -5.850 1.478 -4.754
C -2.666 -1.829 -3.924
Dy -2.596 1.731 0.657
C -4.257 -1.533 -2.981
Dy -2.596 0.217 -2.588
C -1.397 5.016 -3.933
F -3.994 1.825 -1.731
```

- Magnetic moment: 0.00 μB per cell

Which of them is the most stable? Correct choice: *one*.

*one*
VASP calculation (PBE) on a geometry-optimized Dy2FeC2 structure.

```
10
Lattice="5.037 0.000 0.000 -2.518 5.432 -0.270 0.000 -3.205 5.849" Properties=species:S:1:pos:R:3 pbc="T T T"
Dy 2.518 4.283 1.019
Dy 2.518 0.023 3.479
C 2.518 2.179 2.123
C 2.518 -2.394 4.667
Dy 0.000 -2.056 4.561
Dy 0.000 2.204 2.100
C 0.000 4.621 0.913
Fe 0.000 1.244 4.884
Fe 2.518 0.983 0.696
C 0.000 0.048 3.456
```

- Magnetic moment: 1.38 μB per cell

*two*
VASP calculation (PBE) on a geometry-optimized Dy2FeC2 structure.

```
20
Lattice="5.044 0.000 0.000 0.000 6.218 0.000 0.000 0.000 9.711" Properties=species:S:1:pos:R:3 pbc="T T T"
Dy 3.783 0.106 2.740
Dy 3.783 3.216 2.115
Dy 3.783 1.164 9.190
C 1.261 4.317 5.220
Fe 1.261 4.781 3.445
Dy 1.261 5.054 0.521
Fe 1.261 1.672 1.410
Dy 3.783 4.273 5.376
C 1.261 0.198 2.519
Fe 3.783 1.438 6.266
C 3.783 5.010 0.365
C 3.783 1.901 4.490
C 1.261 1.208 9.345
Dy 1.261 6.112 6.970
C 3.783 2.911 7.375
Dy 1.261 1.945 4.335
C 1.261 3.308 2.336
Dy 1.261 3.003 7.596
Fe 3.783 4.547 8.300
C 3.783 6.020 7.191
```

- Magnetic moment: 1.79 μB per cell

Which of them is the most stable? Correct choice: *one*.

*one*
VASP calculation (PBE) on a geometry-optimized Dy4Ga2C structure.

```
7
Lattice="3.604 0.000 0.000 0.000 6.186 -0.108 -1.802 -3.150 7.385" Properties=species:S:1:pos:R:3 pbc="T T T"
Dy 0.000 4.167 1.178
Ga 1.802 3.442 3.448
Dy 1.802 0.849 1.581
Dy 1.802 -1.131 6.100
C 0.000 0.000 0.000
Dy 0.000 2.188 5.696
Ga 0.000 -0.406 3.830
```

- Magnetic moment: 0.00 μB per cell

*two*
VASP calculation (PBE) on a geometry-optimized Dy4Ga2C structure.

```
7
Lattice="0.602 1.661 3.285 -1.552 -4.184 4.517 6.545 -2.671 2.268" Properties=species:S:1:pos:R:3 pbc="T T T"
Ga 3.628 -3.589 5.384
Ga 1.968 -1.605 4.685
Dy 5.361 -4.566 7.678
Dy 4.119 -2.328 2.540
Dy 1.477 -2.866 7.530
C 0.000 0.000 0.000
Dy 0.235 -0.628 2.392
```

- Magnetic moment: 0.99 μB per cell

Which of them is the most stable? Correct choice: *two*.

*one*
VASP calculation (PBE) on a geometry-optimized DyGaC structure.

```
6
Lattice="-0.456 -2.302 2.816 0.400 -2.853 -2.267 8.392 2.635 1.127" Properties=species:S:1:pos:R:3 pbc="T T T"
C 5.333 -2.540 1.173
Dy 5.341 0.037 0.895
Ga 1.135 0.008 0.190
Ga 7.201 -2.528 1.486
Dy 2.995 -2.557 0.781
C 3.003 0.021 0.503
```

- Magnetic moment: 0.00 μB per cell

*two*
VASP calculation (PBE) on a geometry-optimized DyGaC structure.

```
6
Lattice="-1.915 3.323 -0.905 0.111 -3.063 -2.903 -5.555 -1.939 4.638" Properties=species:S:1:pos:R:3 pbc="T T T"
Dy -4.641 -1.809 3.180
C -1.338 1.327 -0.875
Dy -2.718 0.130 -2.349
Ga -4.165 0.170 0.862
C -6.021 -3.005 1.706
Ga -3.193 -1.849 -0.031
```

- Magnetic moment: 0.00 μB per cell

Which of them is the most stable? Correct choice: *two*.